Computed, not measured: crystalline Mg5Cu7 at its relaxed geometry at the GGA-PBE level of DFT.

* ΔE_f: 0.061 eV per atom
* crystal system: tetragonal
* SG: I4mm, No. 107

Unit cell a=6.585 b=6.585 c=6.585 alpha=99.89 beta=99.89 gamma=131.03
Fractional positions:
1 Mg 0.000 0.000 0.000
2 Mg 0.473 0.473 0.601
3 Mg 0.473 0.872 0.000
4 Mg 0.872 0.473 0.000
5 Mg 0.872 0.872 0.399
6 Cu 0.018 0.518 0.500
7 Cu 0.021 0.273 0.747
8 Cu 0.273 0.021 0.747
9 Cu 0.273 0.526 0.253
10 Cu 0.498 0.498 0.000
11 Cu 0.518 0.018 0.500
12 Cu 0.526 0.273 0.253